{"formula": "Y2BeCdC", "functional": "PBE", "state": "optimized geometry", "energy_ev_per_cell": -27.84, "delta_e_f_mev_per_atom": -210, "lattice_angstrom": [[5.170, 0.000, 0.000], [0.000, 5.170, 0.000], [0.000, 0.000, 3.535]], "species": ["Y", "Y", "Be", "Cd", "C"], "fractional_positions": [[0.000, 0.500, 0.000], [0.500, 0.000, 0.000], [0.000, 0.000, 0.500], [0.500, 0.500, 0.500], [0.000, 0.000, 0.000]]}